Record 1
A plane-wave DFT calculation with PBE was carried out for a geometry-optimized Ce5Ge4 structure.

Energy of formation from the pure elements   -4.58 eV per formula unit
Polymorph energy (0 for the lowest one)   201.3 meV per atom

Lattice parameters (Å, degrees): 7.274 7.274 7.274 99.67 99.67 131.62
Positions (direct):
Ce: 0.000 0.000 0.000
Ce: 0.201 0.401 0.602
Ce: 0.401 0.799 0.199
Ce: 0.599 0.201 0.801
Ce: 0.799 0.599 0.398
Ge: 0.098 0.702 0.800
Ge: 0.298 0.098 0.397
Ge: 0.702 0.902 0.603
Ge: 0.902 0.298 0.200

Record 2
A plane-wave DFT calculation with PBE was carried out for a geometry-optimized K3ErNb2O9 structure.

ΔE_f (raw)   -2.318 eV/atom

Lattice parameters (Å, degrees): 5.933 5.933 7.298 90.00 90.00 120.00
Positions (direct):
K: 0.000 0.000 0.000
K: 0.333 0.667 0.674
K: 0.667 0.333 0.326
Er: 0.000 0.000 0.500
Nb: 0.333 0.667 0.177
Nb: 0.667 0.333 0.823
O: 0.000 0.500 0.000
O: 0.174 0.349 0.317
O: 0.174 0.826 0.317
O: 0.349 0.174 0.683
O: 0.500 0.000 0.000
O: 0.500 0.500 0.000
O: 0.651 0.826 0.317
O: 0.826 0.174 0.683
O: 0.826 0.651 0.683

Record 3
A plane-wave DFT calculation with PBE was carried out for a geometry-optimized Ce3Ho2TmS6 structure.

ΔE_f (raw)   -2.017 eV/atom

Lattice parameters (Å, degrees): 6.792 6.792 6.925 99.42 99.42 120.04
Positions (direct):
Ce: 0.000 0.000 0.000
Ce: 0.332 0.668 0.000
Ce: 0.668 0.332 0.000
Ho: 0.167 0.833 0.500
Ho: 0.833 0.167 0.500
Tm: 0.500 0.500 0.500
S: 0.091 0.422 0.266
S: 0.247 0.247 0.735
S: 0.422 0.091 0.266
S: 0.578 0.909 0.734
S: 0.753 0.753 0.265
S: 0.909 0.578 0.734

Record 4
A plane-wave DFT calculation with PBE was carried out for a geometry-optimized MgNiSe structure.

ΔE_f (raw)   -0.407 eV/atom

Lattice parameters (Å, degrees): 4.177 4.843 5.510 86.28 85.16 73.38
Positions (direct):
Mg: 0.000 0.000 0.000
Mg: 0.377 0.376 0.460
Ni: 0.325 0.411 0.947
Ni: 0.526 0.850 0.715
Se: 0.031 0.950 0.498
Se: 0.757 0.554 0.053

Record 5
A plane-wave DFT calculation with PBE was carried out for a geometry-optimized Zr2Ti2Bi structure.

Energy of formation from the pure elements   0.82 eV per formula unit
Polymorph energy (0 for the lowest one)   204.9 meV per atom

Lattice parameters (Å, degrees): 7.611 7.611 3.812 90.00 90.00 90.00
Positions (direct):
Zr: 0.134 0.366 0.000
Zr: 0.366 0.866 0.000
Zr: 0.634 0.134 0.000
Zr: 0.866 0.634 0.000
Ti: 0.165 0.665 0.500
Ti: 0.335 0.165 0.500
Ti: 0.665 0.835 0.500
Ti: 0.835 0.335 0.500
Bi: 0.000 0.000 0.000
Bi: 0.500 0.500 0.000

Record 6
A plane-wave DFT calculation with PBE was carried out for a geometry-optimized ScU2CuS5 structure.

ΔE_f (raw)   -1.349 eV/atom

Lattice parameters (Å, degrees): 8.113 8.113 11.616 90.00 90.00 153.60
Positions (direct):
Sc: 0.182 0.818 0.500
Sc: 0.818 0.182 0.000
U: 0.115 0.885 0.822
U: 0.121 0.879 0.169
U: 0.879 0.121 0.669
U: 0.885 0.115 0.322
Cu: 0.446 0.554 0.902
Cu: 0.554 0.446 0.402
S: 0.017 0.983 0.499
S: 0.304 0.696 0.157
S: 0.306 0.694 0.838
S: 0.346 0.654 0.496
S: 0.496 0.504 0.226
S: 0.504 0.496 0.726
S: 0.654 0.346 0.996
S: 0.694 0.306 0.338
S: 0.696 0.304 0.657
S: 0.983 0.017 0.999

Record 7
A plane-wave DFT calculation with PBE was carried out for a geometry-optimized La5PrMg6 structure.

Energy of formation from the pure elements   -1.40 eV per formula unit

Lattice parameters (Å, degrees): 8.843 8.843 7.920 90.00 90.00 143.13
Positions (direct):
La: 0.000 0.000 0.000
La: 0.332 0.668 0.000
La: 0.333 0.667 0.500
La: 0.667 0.333 0.500
La: 0.668 0.332 0.000
Pr: 0.000 0.000 0.500
Mg: 0.166 0.834 0.252
Mg: 0.166 0.834 0.748
Mg: 0.500 0.500 0.252
Mg: 0.500 0.500 0.748
Mg: 0.834 0.166 0.252
Mg: 0.834 0.166 0.748

Record 8
A plane-wave DFT calculation with PBE was carried out for a geometry-optimized HoTm2Rh4 structure.

Energy of formation from the pure elements   -4.20 eV per formula unit

Lattice parameters (Å, degrees): 8.095 8.095 8.095 33.10 33.10 33.10
Positions (direct):
Ho: 0.000 0.000 0.000
Tm: 0.240 0.240 0.240
Tm: 0.760 0.760 0.760
Rh: 0.122 0.122 0.122
Rh: 0.376 0.376 0.376
Rh: 0.624 0.624 0.624
Rh: 0.878 0.878 0.878